## Ga6NiRh3 (PBE)

Data for an optimized crystal structure of Ga6NiRh3.

Lattice parameters (Å, degrees): 6.257 6.513 9.966 90.00 128.51 90.00
Space group P2_1/c (No. 14)
Inequivalent atoms, fractional coordinates:
Ga 0.021 0.043 0.244
Ga 0.208 0.663 0.066
Ga 0.412 0.148 0.060
Ni 0.000 0.000 0.000
Rh 0.294 0.169 0.740
Rh 0.500 0.000 0.500

Output
- Uncorrected energy: -4.986 eV/atom
- Energy of formation: -0.386 eV per atom



## Ga2Ni8Rh (PBE)

Data for an optimized crystal structure of Ga2Ni8Rh.

Lattice parameters (Å, degrees): 6.497 11.346 4.202 90.00 118.59 90.00
Space group C2/m (No. 12)
Inequivalent atoms, fractional coordinates:
Ga 0.000 0.192 0.000
Ni 0.000 0.285 0.500
Ni 0.079 0.000 0.307
Ni 0.208 0.389 0.141
Rh 0.000 0.500 0.500

Output
- Uncorrected energy: -5.399 eV/atom
- Energy of formation: 0.024 eV per atom



## GaNi2Rh (PBE)

Data for an optimized crystal structure of GaNi2Rh.

Lattice parameters (Å, degrees): 3.617 3.617 3.830 90.00 90.00 90.00
Space group P4/mmm (No. 123)
Inequivalent atoms, fractional coordinates:
Ga 0.000 0.000 0.000
Ni 0.000 0.500 0.500
Rh 0.500 0.500 0.000

Output
- Uncorrected energy: -5.778 eV/atom
- Energy of formation: -0.293 eV per atom



## GaNiRh6 (PBE)

Data for an optimized crystal structure of GaNiRh6.

Lattice parameters (Å, degrees): 5.268 9.139 4.860 90.00 90.06 90.00
Space group C2/m (No. 12)
Inequivalent atoms, fractional coordinates:
Ga 0.000 0.000 0.000
Ni 0.000 0.000 0.500
Rh 0.054 0.500 0.250
Rh 0.131 0.237 0.748

Output
- Uncorrected energy: -6.496 eV/atom
- Energy of formation: 0.118 eV per atom



## GaNi3Rh3 (PBE)

Data for an optimized crystal structure of GaNi3Rh3.

Lattice parameters (Å, degrees): 6.9401 6.9401 13.0193 90.00 90.00 120.00
Space group R-3 (No. 148, hexagonal axes)
Inequivalent atoms, fractional coordinates:
Ga 0.0000 0.0000 0.2472
Ni 0.0433 0.2298 0.9189
Rh 0.0466 0.2471 0.4175

Output
- Uncorrected energy: -6.187 eV/atom
- Energy of formation: -0.127 eV per atom



## Ga8Ni3Rh2 (PBE)

Data for an optimized crystal structure of Ga8Ni3Rh2.

Lattice parameters (Å, degrees): 7.140 4.139 7.177 90.00 110.34 90.00
Space group P2/m (No. 10)
Inequivalent atoms, fractional coordinates:
Ga 0.117 0.000 0.361
Ga 0.119 0.500 0.883
Ga 0.358 0.000 0.117
Ga 0.371 0.500 0.627
Ni 0.258 0.500 0.259
Ni 0.500 0.000 0.500
Rh 0.256 0.000 0.745

Output
- Uncorrected energy: -4.740 eV/atom
- Energy of formation: -0.412 eV per atom



## GaNi2Rh (PBE)

Data for an optimized crystal structure of GaNi2Rh.

Lattice parameters (Å, degrees): 3.525 3.525 17.633 90.00 90.00 90.00
Space group I-42d (No. 122)
Inequivalent atoms, fractional coordinates:
Ga 0.000 0.000 0.000
Ni 0.246 0.250 0.125
Rh 0.000 0.000 0.500

Output
- Uncorrected energy: -5.411 eV/atom
- Energy of formation: 0.074 eV per atom



## Ga7Ni2Rh2 (PBE)

Data for an optimized crystal structure of Ga7Ni2Rh2.

Lattice parameters (Å, degrees): 6.077 8.555 6.804 90.00 90.00 90.00
Space group Cmmm (No. 65)
Inequivalent atoms, fractional coordinates:
Ga 0.000 0.000 0.000
Ga 0.000 0.500 0.264
Ga 0.250 0.250 0.305
Ni 0.196 0.000 0.500
Rh 0.000 0.289 0.000

Output
- Uncorrected energy: -4.578 eV/atom
- Energy of formation: -0.264 eV per atom



## GaNiRh4 (PBE)

Data for an optimized crystal structure of GaNiRh4.

Lattice parameters (Å, degrees): 2.780 2.780 10.627 90.00 90.00 90.00
Space group P4/mmm (No. 123)
Inequivalent atoms, fractional coordinates:
Ga 0.000 0.000 0.000
Ni 0.500 0.500 0.500
Rh 0.000 0.000 0.344
Rh 0.500 0.500 0.164

Output
- Uncorrected energy: -6.509 eV/atom
- Energy of formation: -0.140 eV per atom



## Ga3Ni2Rh8 (PBE)

Data for an optimized crystal structure of Ga3Ni2Rh8.

Lattice parameters (Å, degrees): 5.2390 5.2390 26.2314 90.00 90.00 120.00
Space group R-3m (No. 166, hexagonal axes)
Inequivalent atoms, fractional coordinates:
Ga 0.0000 0.0000 0.0000
Ga 0.0000 0.0000 0.1727
Ni 0.0000 0.0000 0.3515
Rh 0.0000 0.0000 0.2646
Rh 0.0033 0.5017 0.7582

Output
- Uncorrected energy: -5.911 eV/atom
- Energy of formation: 0.201 eV per atom